[1]
5
Lattice="4.682 0.000 0.000 0.000 4.682 0.000 0.000 0.000 4.682" Properties=species:S:1:pos:R:3 comment="MnCuSe3 (PBE, relaxed)" total_magnetization_mub_per_fu=0.00 density_g_cm3=5.75 final_energy_ev_per_cell=-20.83 e_form_raw_mev_per_atom=577 relative_energy_ev_per_atom=0.482 pbc="T T T"
Mn 0.000 0.000 0.000
Cu 2.341 2.341 2.341
Se 0.000 0.000 2.341
Se 0.000 2.341 0.000
Se 2.341 0.000 0.000

=====

[2]
4
Lattice="0.000 2.981 2.981 2.981 0.000 2.981 2.981 2.981 0.000" Properties=species:S:1:pos:R:3 comment="TeC2S (PBE, relaxed)" total_magnetization_mub_per_fu=0.00 density_g_cm3=5.76 final_energy_ev_per_cell=-15.15 e_form_raw_mev_per_atom=2642 relative_energy_ev_per_atom=0.734 pbc="T T T"
Te 0.000 0.000 0.000
C 1.491 1.491 1.491
C 4.472 4.472 4.472
S 2.981 2.981 2.981

=====

[3]
12
Lattice="4.367 0.000 0.000 0.000 9.087 0.000 0.000 0.000 6.477" Properties=species:S:1:pos:R:3 comment="Li2CdIn2Hg (PBE, relaxed)" total_magnetization_mub_per_fu=0.00 e_form_ev_per_atom=-0.190 density_g_cm3=7.19 final_energy_ev_per_cell=-23.32 pbc="T T T"
Li 0.000 1.375 0.000
Li 0.000 7.712 3.239
Li 2.183 3.070 4.776
Li 2.183 6.017 1.537
Cd 0.000 1.533 3.309
Cd 0.000 7.554 0.070
In 0.000 4.470 6.340
In 0.000 4.617 3.101
In 2.183 2.888 1.478
In 2.183 6.199 4.717
Hg 2.183 0.210 4.967
Hg 2.183 8.877 1.728

=====

[4]
11
Lattice="3.131 -5.351 0.000 3.131 5.351 0.000 -1.821 0.000 6.731" Properties=species:S:1:pos:R:3 comment="Na2Ta2CuS6 (PBE, relaxed)" total_magnetization_mub_per_fu=0.90 density_g_cm3=4.89 final_energy_ev_per_cell=-64.96 e_form_raw_mev_per_atom=-887 pbc="T T T"
Na 3.131 3.490 0.000
Na 3.131 -3.490 0.000
Ta 2.221 1.605 3.366
Ta 2.221 -1.605 3.366
Cu -0.910 0.000 3.366
S 0.144 1.827 4.682
S 1.368 0.000 1.765
S 0.144 -1.827 4.682
S 4.298 1.827 2.049
S 3.074 0.000 4.966
S 4.298 -1.827 2.049